No. 1
{"formula": "Ac3Zr5O12", "functional": "PBE-GGA", "state": "optimized geometry", "cell": [[-6.862, 6.862, 6.862], [6.862, -6.862, 6.862], [6.862, 6.862, -6.862]], "species": ["Ac", "Ac", "Ac", "Ac", "Ac", "Ac", "Ac", "Ac", "Ac", "Ac", "Ac", "Ac", "Zr", "Zr", "Zr", "Zr", "Zr", "Zr", "Zr", "Zr", "Zr", "Zr", "Zr", "Zr", "Zr", "Zr", "Zr", "Zr", "Zr", "Zr", "Zr", "Zr", "O", "O", "O", "O", "O", "O", "O", "O", "O", "O", "O", "O", "O", "O", "O", "O", "O", "O", "O", "O", "O", "O", "O", "O", "O", "O", "O", "O", "O", "O", "O", "O", "O", "O", "O", "O", "O", "O", "O", "O", "O", "O", "O", "O", "O", "O", "O", "O"], "frac_coords": [[0.125, 0.250, 0.375], [0.125, 0.375, 0.750], [0.250, 0.375, 0.125], [0.250, 0.875, 0.625], [0.375, 0.125, 0.250], [0.375, 0.750, 0.125], [0.625, 0.250, 0.875], [0.625, 0.875, 0.750], [0.750, 0.125, 0.375], [0.750, 0.625, 0.875], [0.875, 0.625, 0.250], [0.875, 0.750, 0.625], [0.000, 0.000, 0.000], [0.000, 0.000, 0.500], [0.000, 0.500, 0.000], [0.000, 0.500, 0.500], [0.125, 0.750, 0.875], [0.125, 0.875, 0.250], [0.250, 0.125, 0.875], [0.250, 0.625, 0.375], [0.375, 0.250, 0.625], [0.375, 0.625, 0.750], [0.500, 0.000, 0.000], [0.500, 0.000, 0.500], [0.500, 0.500, 0.000], [0.500, 0.500, 0.500], [0.625, 0.375, 0.250], [0.625, 0.750, 0.375], [0.750, 0.375, 0.625], [0.750, 0.875, 0.125], [0.875, 0.125, 0.750], [0.875, 0.250, 0.125], [0.026, 0.201, 0.123], [0.026, 0.324, 0.902], [0.078, 0.701, 0.676], [0.078, 0.877, 0.402], [0.098, 0.623, 0.422], [0.098, 0.974, 0.676], [0.123, 0.026, 0.201], [0.123, 0.598, 0.922], [0.176, 0.201, 0.578], [0.176, 0.474, 0.598], [0.201, 0.123, 0.026], [0.201, 0.578, 0.176], [0.299, 0.324, 0.922], [0.299, 0.474, 0.377], [0.324, 0.902, 0.026], [0.324, 0.922, 0.299], [0.377, 0.299, 0.474], [0.377, 0.578, 0.902], [0.402, 0.078, 0.877], [0.402, 0.824, 0.526], [0.422, 0.098, 0.623], [0.422, 0.824, 0.799], [0.474, 0.377, 0.299], [0.474, 0.598, 0.176], [0.526, 0.402, 0.824], [0.526, 0.623, 0.701], [0.578, 0.176, 0.201], [0.578, 0.902, 0.377], [0.598, 0.176, 0.474], [0.598, 0.922, 0.123], [0.623, 0.422, 0.098], [0.623, 0.701, 0.526], [0.676, 0.078, 0.701], [0.676, 0.098, 0.974], [0.701, 0.526, 0.623], [0.701, 0.676, 0.078], [0.799, 0.422, 0.824], [0.799, 0.877, 0.974], [0.824, 0.526, 0.402], [0.824, 0.799, 0.422], [0.877, 0.402, 0.078], [0.877, 0.974, 0.799], [0.902, 0.026, 0.324], [0.902, 0.377, 0.578], [0.922, 0.123, 0.598], [0.922, 0.299, 0.324], [0.974, 0.676, 0.098], [0.974, 0.799, 0.877]], "total_magnetization_mub_per_fu": 3.11, "final_energy_ev_per_atom": -8.681, "e_form_raw_ev_per_atom": -2.953, "dos_at_fermi_per_ev_cell": 43.681}

No. 2
{"formula": "Ac3ZrO7", "functional": "PBE-GGA", "state": "optimized geometry", "cell": [[5.769, -3.967, 0.000], [5.769, 3.967, 0.000], [0.000, 0.000, 8.183]], "species": ["Ac", "Ac", "Ac", "Ac", "Ac", "Ac", "Zr", "Zr", "O", "O", "O", "O", "O", "O", "O", "O", "O", "O", "O", "O", "O", "O"], "frac_coords": [[0.000, 0.000, 0.000], [0.000, 0.000, 0.500], [0.069, 0.479, 0.750], [0.479, 0.069, 0.250], [0.521, 0.931, 0.750], [0.931, 0.521, 0.250], [0.500, 0.500, 0.000], [0.500, 0.500, 0.500], [0.109, 0.153, 0.250], [0.153, 0.109, 0.750], [0.178, 0.569, 0.031], [0.178, 0.569, 0.469], [0.431, 0.822, 0.031], [0.431, 0.822, 0.469], [0.432, 0.568, 0.750], [0.568, 0.432, 0.250], [0.569, 0.178, 0.531], [0.569, 0.178, 0.969], [0.822, 0.431, 0.531], [0.822, 0.431, 0.969], [0.847, 0.891, 0.250], [0.891, 0.847, 0.750]], "total_magnetization_mub_per_fu": 1.05, "final_energy_ev_per_atom": -8.234, "e_form_raw_ev_per_atom": -3.182, "dos_at_fermi_per_ev_cell": 19.167}

No. 3
{"formula": "AcZr3O8", "functional": "PBE-GGA", "state": "optimized geometry", "cell": [[6.141, 0.000, 0.000], [-3.071, 5.319, 0.000], [0.000, 0.000, 6.887]], "species": ["Ac", "Zr", "Zr", "Zr", "O", "O", "O", "O", "O", "O", "O", "O"], "frac_coords": [[0.000, 0.000, 0.000], [0.000, 0.000, 0.500], [0.333, 0.667, 0.767], [0.667, 0.333, 0.233], [0.150, 0.300, 0.701], [0.150, 0.850, 0.701], [0.300, 0.150, 0.299], [0.333, 0.667, 0.047], [0.667, 0.333, 0.953], [0.700, 0.850, 0.701], [0.850, 0.150, 0.299], [0.850, 0.700, 0.299]], "total_magnetization_mub_per_fu": 1.05, "final_energy_ev_per_atom": -8.675, "e_form_raw_ev_per_atom": -2.890, "dos_at_fermi_per_ev_cell": 7.988}

No. 4
{"formula": "Ac3ZrO", "functional": "PBE-GGA", "state": "optimized geometry", "cell": [[5.311, 0.000, 0.000], [0.000, 5.311, 0.000], [0.000, 0.000, 5.311]], "species": ["Ac", "Ac", "Ac", "Zr", "O"], "frac_coords": [[0.000, 0.000, 0.500], [0.000, 0.500, 0.000], [0.500, 0.000, 0.000], [0.500, 0.500, 0.500], [0.000, 0.000, 0.000]], "total_magnetization_mub_per_fu": 0.00, "final_energy_ev_per_atom": -6.089, "e_form_raw_ev_per_atom": -0.922, "dos_at_fermi_per_ev_cell": 4.854}

No. 5
{"formula": "AcZr2O5", "functional": "PBE-GGA", "state": "optimized geometry", "cell": [[3.822, 0.000, 0.000], [0.000, 12.186, 0.000], [0.000, 0.000, 5.797]], "species": ["Ac", "Ac", "Zr", "Zr", "Zr", "Zr", "O", "O", "O", "O", "O", "O", "O", "O", "O", "O"], "frac_coords": [[0.250, 0.250, 0.098], [0.750, 0.750, 0.902], [0.250, 0.606, 0.401], [0.250, 0.894, 0.401], [0.750, 0.106, 0.599], [0.750, 0.394, 0.599], [0.250, 0.072, 0.450], [0.250, 0.428, 0.450], [0.250, 0.629, 0.068], [0.250, 0.750, 0.603], [0.250, 0.871, 0.068], [0.750, 0.129, 0.932], [0.750, 0.250, 0.397], [0.750, 0.371, 0.932], [0.750, 0.572, 0.550], [0.750, 0.928, 0.550]], "total_magnetization_mub_per_fu": 1.00, "final_energy_ev_per_atom": -8.903, "e_form_raw_ev_per_atom": -3.154, "dos_at_fermi_per_ev_cell": 0.611}

No. 6
{"formula": "AcZrO4", "functional": "PBE-GGA", "state": "optimized geometry", "cell": [[3.852, 0.000, 0.000], [0.000, 3.852, 0.000], [0.000, 0.000, 5.663]], "species": ["Ac", "Zr", "O", "O", "O", "O"], "frac_coords": [[0.000, 0.000, 0.000], [0.500, 0.500, 0.500], [0.000, 0.500, 0.283], [0.000, 0.500, 0.717], [0.500, 0.000, 0.283], [0.500, 0.000, 0.717]], "total_magnetization_mub_per_fu": 0.46, "final_energy_ev_per_atom": -8.269, "polymorph_energy_kcal_per_mol_atoms": 0.000, "e_form_raw_ev_per_atom": -2.854, "dos_at_fermi_per_ev_cell": 5.148}

No. 7
{"formula": "Ac2Zr2O7", "functional": "PBE-GGA", "state": "optimized geometry", "cell": [[0.000, 5.544, 5.544], [5.544, 0.000, 5.544], [5.544, 5.544, 0.000]], "species": ["Ac", "Ac", "Ac", "Ac", "Zr", "Zr", "Zr", "Zr", "O", "O", "O", "O", "O", "O", "O", "O", "O", "O", "O", "O", "O", "O"], "frac_coords": [[0.000, 0.000, 0.000], [0.000, 0.000, 0.500], [0.000, 0.500, 0.000], [0.500, 0.000, 0.000], [0.000, 0.500, 0.500], [0.500, 0.000, 0.500], [0.500, 0.500, 0.000], [0.500, 0.500, 0.500], [0.125, 0.125, 0.125], [0.172, 0.172, 0.578], [0.172, 0.578, 0.172], [0.172, 0.578, 0.578], [0.422, 0.422, 0.828], [0.422, 0.828, 0.422], [0.422, 0.828, 0.828], [0.578, 0.172, 0.172], [0.578, 0.172, 0.578], [0.578, 0.578, 0.172], [0.828, 0.422, 0.422], [0.828, 0.422, 0.828], [0.828, 0.828, 0.422], [0.875, 0.875, 0.875]], "total_magnetization_mub_per_fu": 0.00, "final_energy_ev_per_atom": -8.888, "e_form_raw_ev_per_atom": -3.432, "dos_at_fermi_per_ev_cell": 0.000}

No. 8
{"formula": "AcZrO4", "functional": "PBE-GGA", "state": "optimized geometry", "cell": [[4.206, 0.000, 0.000], [0.000, 4.206, 0.000], [0.000, 0.000, 10.788]], "species": ["Ac", "Ac", "Zr", "Zr", "O", "O", "O", "O", "O", "O", "O", "O"], "frac_coords": [[0.250, 0.250, 0.119], [0.750, 0.750, 0.881], [0.250, 0.250, 0.615], [0.750, 0.750, 0.385], [0.250, 0.250, 0.793], [0.250, 0.750, 0.000], [0.250, 0.750, 0.396], [0.250, 0.750, 0.604], [0.750, 0.250, 0.000], [0.750, 0.250, 0.396], [0.750, 0.250, 0.604], [0.750, 0.750, 0.207]], "total_magnetization_mub_per_fu": 1.03, "final_energy_ev_per_atom": -8.207, "polymorph_energy_kcal_per_mol_atoms": 1.427, "e_form_raw_ev_per_atom": -2.792, "dos_at_fermi_per_ev_cell": 1.835}

No. 9
{"formula": "Ac5Zr2O12", "functional": "PBE-GGA", "state": "optimized geometry", "cell": [[6.747, -3.241, 0.000], [6.747, 3.241, 0.000], [-2.346, 0.000, 7.683]], "species": ["Ac", "Ac", "Ac", "Ac", "Ac", "Zr", "Zr", "O", "O", "O", "O", "O", "O", "O", "O", "O", "O", "O", "O"], "frac_coords": [[0.000, 0.000, 0.000], [0.303, 0.303, 0.660], [0.308, 0.308, 0.144], [0.692, 0.692, 0.856], [0.697, 0.697, 0.340], [0.241, 0.759, 0.500], [0.759, 0.241, 0.500], [0.000, 0.000, 0.323], [0.000, 0.000, 0.677], [0.092, 0.597, 0.924], [0.107, 0.568, 0.417], [0.403, 0.908, 0.076], [0.432, 0.893, 0.583], [0.498, 0.498, 0.675], [0.502, 0.502, 0.325], [0.568, 0.107, 0.417], [0.597, 0.092, 0.924], [0.893, 0.432, 0.583], [0.908, 0.403, 0.076]], "total_magnetization_mub_per_fu": 1.03, "final_energy_ev_per_atom": -8.397, "e_form_raw_ev_per_atom": -3.284, "dos_at_fermi_per_ev_cell": 18.645}

No. 10
{"formula": "Ac4Os", "functional": "PBE-GGA", "state": "optimized geometry", "cell": [[0.000, 7.263, 4.166], [6.975, 0.000, 4.166], [6.975, 7.263, 0.000]], "species": ["Ac", "Ac", "Ac", "Ac", "Ac", "Ac", "Ac", "Ac", "Os", "Os"], "frac_coords": [[0.211, 0.296, 0.456], [0.213, 0.794, 0.954], [0.296, 0.211, 0.037], [0.301, 0.699, 0.542], [0.699, 0.301, 0.458], [0.708, 0.792, 0.949], [0.792, 0.708, 0.551], [0.794, 0.213, 0.039], [0.254, 0.254, 0.746], [0.504, 0.504, 0.996]], "total_magnetization_mub_per_fu": 0.00, "final_energy_ev_per_atom": -5.567, "delta_e_f_ev_per_fu": -0.17, "polymorph_energy_kcal_per_mol_atoms": 0.000, "dos_at_fermi_per_ev_cell": 9.181}

No. 11
{"formula": "AcOs2", "functional": "PBE-GGA", "state": "optimized geometry", "cell": [[0.000, 3.943, 3.943], [3.943, 0.000, 3.943], [3.943, 3.943, 0.000]], "species": ["Ac", "Ac", "Os", "Os", "Os", "Os"], "frac_coords": [[0.125, 0.125, 0.125], [0.875, 0.875, 0.875], [0.000, 0.500, 0.500], [0.500, 0.000, 0.500], [0.500, 0.500, 0.000], [0.500, 0.500, 0.500]], "total_magnetization_mub_per_fu": 0.00, "final_energy_ev_per_atom": -8.667, "delta_e_f_ev_per_fu": 0.57, "dos_at_fermi_per_ev_cell": 11.491}

No. 12
{"formula": "Ac5Os2", "functional": "PBE-GGA", "state": "optimized geometry", "cell": [[8.767, -3.507, 0.000], [8.767, 3.507, 0.000], [-0.885, 0.000, 7.737]], "species": ["Ac", "Ac", "Ac", "Ac", "Ac", "Ac", "Ac", "Ac", "Ac", "Ac", "Os", "Os", "Os", "Os"], "frac_coords": [[0.069, 0.931, 0.750], [0.142, 0.286, 0.319], [0.286, 0.142, 0.819], [0.308, 0.505, 0.091], [0.495, 0.692, 0.409], [0.505, 0.308, 0.591], [0.692, 0.495, 0.909], [0.714, 0.858, 0.181], [0.858, 0.714, 0.681], [0.931, 0.069, 0.250], [0.102, 0.678, 0.424], [0.322, 0.898, 0.076], [0.678, 0.102, 0.924], [0.898, 0.322, 0.576]], "total_magnetization_mub_per_fu": 0.00, "final_energy_ev_per_atom": -6.197, "delta_e_f_ev_per_fu": -0.38, "dos_at_fermi_per_ev_cell": 11.048}